PBE-GGA YTaSb2, optimized geometry; energy relative to the lowest polymorph listed for this composition = 1.17 eV per formula unit; uncorrected energy = -6.664 eV per atom
1.0
4.061 0.000 0.000
0.000 4.859 0.000
0.000 0.000 10.947
Y Ta Sb
2 2 4
Direct
0.000 0.000 0.000
0.500 0.500 0.000
0.000 0.500 0.219
0.500 0.000 0.219
0.000 0.000 0.413
0.000 0.500 0.771
0.500 0.000 0.771
0.500 0.500 0.413


PBE-GGA Tb4SmY5, optimized geometry; energy relative to the lowest polymorph listed for this composition = 1.14 eV per formula unit; DFT formation energy = 0.300 eV/atom; uncorrected energy = -5.257 eV per atom
1.0
-5.140 5.140 3.142
5.140 -5.140 3.142
5.140 5.140 -3.142
Tb Sm Y
4 1 5
Direct
0.049 0.649 0.698
0.351 0.049 0.400
0.649 0.951 0.600
0.951 0.351 0.302
0.231 0.231 0.000
0.268 0.353 0.619
0.353 0.735 0.085
0.649 0.268 0.915
0.735 0.649 0.381
0.774 0.774 0.000


PBE-GGA LaAu3N, optimized geometry; energy relative to the lowest polymorph listed for this composition = 5.05 eV per formula unit; uncorrected energy = -3.365 eV per atom
1.0
5.855 0.000 0.000
0.000 5.855 0.000
0.000 0.000 5.855
La Au N
1 3 1
Direct
0.000 0.000 0.000
0.000 0.000 0.500
0.000 0.500 0.000
0.500 0.000 0.000
0.500 0.500 0.500


PBE-GGA Ac3La3Pt2, optimized geometry; DFT formation energy = -0.556 eV/atom; uncorrected energy = -5.455 eV per atom
1.0
2.062 -6.946 0.000
2.062 6.946 0.000
0.000 0.000 19.553
Ac La Pt
6 6 4
Direct
0.057 0.943 0.597
0.057 0.943 0.903
0.324 0.676 0.750
0.676 0.324 0.250
0.943 0.057 0.097
0.943 0.057 0.403
0.332 0.668 0.555
0.332 0.668 0.945
0.402 0.598 0.250
0.598 0.402 0.750
0.668 0.332 0.055
0.668 0.332 0.445
0.274 0.726 0.131
0.274 0.726 0.369
0.726 0.274 0.631
0.726 0.274 0.869